# PBE-GGA TbThTl2, optimized geometry
data_TbThTl2
_cell_length_a 3.6153
_cell_length_b 3.6153
_cell_length_c 10.7189
_cell_angle_alpha 80.29
_cell_angle_beta 80.29
_cell_angle_gamma 60.00
_symmetry_space_group_name_H-M 'P 1'
_symmetry_Int_Tables_number 1
loop_
_symmetry_equiv_pos_as_xyz
'x,y,z'
loop_
_atom_site_label
_atom_site_fract_x
_atom_site_fract_y
_atom_site_fract_z
Tl1 0.7536 0.7536 0.7392
Tl2 0.2464 0.2464 0.2608
Tb1 0.5000 0.5000 0.5000
Th1 0.0000 0.0000 0.0000
# Magnetic moment ... 0.00 μB per atom
# Uncorrected energy ... -17.34 eV/cell
# DFT formation energy ... -54 kJ/mol of formula units
# Volume ... 29.75 A^3/atom